! Pm3TmBi4 (GGA-PBE, optimized geometry); values from VASP
&SYSTEM
  ibrav = 0, nat = 8, ntyp = 3
/
ATOMIC_SPECIES
Pm 145.00 Pm.upf
Bi 208.98 Bi.upf
Tm 168.93 Tm.upf
CELL_PARAMETERS angstrom
-3.497 -2.706 -1.058
1.725 -4.626 6.127
-5.028 5.608 2.278
ATOMIC_POSITIONS crystal
Pm 0.500 0.500 0.500
Pm 0.000 0.500 0.000
Pm 0.000 0.000 0.500
Bi 0.500 0.247 0.753
Bi 0.500 0.753 0.247
Bi 0.000 0.243 0.243
Bi 0.000 0.757 0.757
Tm 0.500 0.000 0.000
! D(E_F)	1.2	states/eV/f.u.
! E_tot	-41.413	eV for the cell shown
! space-group type	Cmmm (65)